A relaxed Pm5As4 crystal. Source: the Alexandria database, functional PBE.

Properties
Formation energy   -26.720 kcal/mol of atoms

Cell and atoms, written as CIF:
```
data_Pm5As4
_cell_length_a 11.8064
_cell_length_b 11.8064
_cell_length_c 4.1316
_cell_angle_alpha 90.00
_cell_angle_beta 90.00
_cell_angle_gamma 90.00
_space_group_name_H-M_alt 'I 4/m'
_space_group_IT_number 87
_space_group_name_Hall '-I 4'
loop_
_atom_site_label
_atom_site_type_symbol
_atom_site_fract_x
_atom_site_fract_y
_atom_site_fract_z
_atom_site_occupancy
Pm1 Pm 0.0000 0.0000 0.0000 1
Pm2 Pm 0.0977 0.2322 0.5000 1
As1 As 0.0924 0.7699 0.0000 1
```


A relaxed HgI crystal. Source: the Alexandria database, functional PBE.

Properties
Distance to the lowest polymorph of the same formula   0.010 eV/atom
Energy relative to the elements, uncorrected   -45 kJ/mol of formula units

Cell and atoms, written as CIF:
```
data_HgI
_cell_length_a 6.7003
_cell_length_b 7.0099
_cell_length_c 8.4425
_cell_angle_alpha 82.86
_cell_angle_beta 74.03
_cell_angle_gamma 61.49
_space_group_name_H-M_alt 'P 1'
_space_group_IT_number 1
_space_group_name_Hall 'P 1'
loop_
_atom_site_label
_atom_site_type_symbol
_atom_site_fract_x
_atom_site_fract_y
_atom_site_fract_z
_atom_site_occupancy
Hg1 Hg 0.0000 0.0000 0.0000 1
Hg2 Hg 0.0800 0.5268 0.5225 1
Hg3 Hg 0.4455 0.7917 0.0167 1
Hg4 Hg 0.8424 0.3198 0.5026 1
I1 I 0.3126 0.7595 0.5288 1
I2 I 0.6010 0.2325 0.8805 1
I3 I 0.6780 0.0860 0.3801 1
I4 I 0.9104 0.5603 0.0237 1
```


A relaxed MgSc2PdO crystal. Source: the Alexandria database, functional PBE.

Properties
Distance to the lowest polymorph of the same formula   0.301 eV/atom
Energy relative to the elements, uncorrected   -547 kJ/mol of formula units

Cell and atoms, written as CIF:
```
data_MgSc2PdO
_cell_length_a 4.2254
_cell_length_b 4.2254
_cell_length_c 4.9039
_cell_angle_alpha 90.00
_cell_angle_beta 90.00
_cell_angle_gamma 90.00
_space_group_name_H-M_alt 'P 4/m m m'
_space_group_IT_number 123
_space_group_name_Hall '-P 4 2'
loop_
_atom_site_label
_atom_site_type_symbol
_atom_site_fract_x
_atom_site_fract_y
_atom_site_fract_z
_atom_site_occupancy
Mg1 Mg 0.0000 0.0000 0.0000 1
Sc1 Sc 0.0000 0.5000 0.5000 1
Pd1 Pd 0.5000 0.5000 0.0000 1
O1 O 0.5000 0.5000 0.5000 1
```


A relaxed Ho2LuBi crystal. Source: the Alexandria database, functional PBE.

Properties
Distance to the lowest polymorph of the same formula   0.057 eV/atom
Formation energy   -6.802 kcal/mol of atoms

Cell and atoms, written as CIF:
```
data_Ho2LuBi
_cell_length_a 4.8239
_cell_length_b 4.8239
_cell_length_c 4.8209
_cell_angle_alpha 90.00
_cell_angle_beta 90.00
_cell_angle_gamma 90.00
_space_group_name_H-M_alt 'P 4/m m m'
_space_group_IT_number 123
_space_group_name_Hall '-P 4 2'
loop_
_atom_site_label
_atom_site_type_symbol
_atom_site_fract_x
_atom_site_fract_y
_atom_site_fract_z
_atom_site_occupancy
Ho1 Ho 0.0000 0.5000 0.0000 1
Lu1 Lu 0.0000 0.0000 0.5000 1
Bi1 Bi 0.5000 0.5000 0.5000 1
```


A relaxed LiZrTe2 crystal. Source: the Alexandria database, functional PBE.

Properties
Energy relative to the elements, uncorrected   -324 kJ/mol of formula units

Cell and atoms, written as CIF:
```
data_LiZrTe2
_cell_length_a 13.9685
_cell_length_b 3.7770
_cell_length_c 3.9931
_cell_angle_alpha 90.00
_cell_angle_beta 90.10
_cell_angle_gamma 90.00
_space_group_name_H-M_alt 'C 1 m 1'
_space_group_IT_number 8
_space_group_name_Hall 'C -2y'
loop_
_atom_site_label
_atom_site_type_symbol
_atom_site_fract_x
_atom_site_fract_y
_atom_site_fract_z
_atom_site_occupancy
Li1 Li 0.0000 0.0000 0.0000 1
Zr1 Zr 0.2055 0.0000 0.5018 1
Te1 Te 0.0479 0.5000 0.5004 1
Te2 Te 0.2932 0.5000 0.0024 1
```


A relaxed Pm3Nd5Dy3 crystal. Source: the Alexandria database, functional PBE.

Properties
Formation energy   7.217 kcal/mol of atoms

Cell and atoms, written as CIF:
```
data_Pm3Nd5Dy3
_cell_length_a 11.3246
_cell_length_b 11.3246
_cell_length_c 3.4946
_cell_angle_alpha 90.00
_cell_angle_beta 90.00
_cell_angle_gamma 120.00
_space_group_name_H-M_alt 'P -6 2 m'
_space_group_IT_number 189
_space_group_name_Hall 'P -6 -2'
loop_
_atom_site_label
_atom_site_type_symbol
_atom_site_fract_x
_atom_site_fract_y
_atom_site_fract_z
_atom_site_occupancy
Pm1 Pm 0.0000 0.3419 0.0000 1
Nd1 Nd 0.0000 0.8382 0.0000 1
Nd2 Nd 0.3333 0.6667 0.0000 1
Dy1 Dy 0.0000 0.5942 0.5000 1
```


In states/eV/atom, the density of states at the Fermi level values for the records above are, in order, 0.585, 0.000, 0.721, 1.551, 0.604, 1.627.